[1]
## PrTlSn (GGA-PBE)

Data for a relaxed PrTlSn crystal. Values from VASP.

The structure in Quantum ESPRESSO input format:
```
&SYSTEM
  ibrav = 0, nat = 6, ntyp = 3
/
ATOMIC_SPECIES
Pr 140.91 Pr.upf
Tl 204.38 Tl.upf
Sn 118.71 Sn.upf
ATOMIC_POSITIONS angstrom
Pr 2.416 6.905 3.264
Pr 2.416 -6.905 1.088
Tl 2.416 4.007 1.088
Tl 2.416 -4.007 3.264
Sn 2.416 1.083 3.264
Sn 2.416 -1.083 1.088
CELL_PARAMETERS angstrom
2.416 -8.462 0.000
2.416 8.462 0.000
0.000 0.000 4.352
```

Calculated values
**Crystal system**: orthorhombic
**DFT total energy**: -4.192 eV/atom
**Size of the total moment**: 0.00 μB/f.u.
**SG**: Cmcm
**Volume**: 177.9 Å³/cell
**Distance to the lowest polymorph of the same formula**: 0 meV per atom
**Calculated formation energy**: -476.2 meV/atom
**N(E_F)**: 0.582 states/eV per atom



[2]
## PmHoNiRh (GGA-PBE)

Data for a relaxed PmHoNiRh crystal. Values from VASP.

The structure in Quantum ESPRESSO input format:
```
&SYSTEM
  ibrav = 0, nat = 4, ntyp = 4
/
ATOMIC_SPECIES
Pm 145.00 Pm.upf
Ho 164.93 Ho.upf
Ni 58.69 Ni.upf
Rh 102.91 Rh.upf
ATOMIC_POSITIONS angstrom
Pm 0.000 0.000 0.000
Ho 2.061 0.000 7.713
Ni 2.061 0.000 4.647
Rh 0.000 0.000 2.962
CELL_PARAMETERS angstrom
4.123 0.000 0.000
0.000 1.931 5.366
0.000 -1.931 5.366
```

Calculated values
**Crystal system**: orthorhombic
**DFT total energy**: -6.220 eV/atom
**Size of the total moment**: 0.00 μB/f.u.
**SG**: Amm2
**Volume**: 85.4 Å³/cell
**Distance to the lowest polymorph of the same formula**: 0 meV per atom
**Calculated formation energy**: -604.2 meV/atom
**N(E_F)**: 0.625 states/eV per atom



[3]
## Zr5Ru (GGA-PBE)

Data for a relaxed Zr5Ru crystal. Values from VASP.

The structure in Quantum ESPRESSO input format:
```
&SYSTEM
  ibrav = 0, nat = 6, ntyp = 2
/
ATOMIC_SPECIES
Zr 91.22 Zr.upf
Ru 101.07 Ru.upf
ATOMIC_POSITIONS angstrom
Zr 0.000 0.000 0.000
Zr 0.000 0.000 4.327
Zr 0.000 0.000 7.586
Zr 1.637 1.637 2.194
Zr 1.637 1.637 9.719
Ru 1.637 1.637 5.956
CELL_PARAMETERS angstrom
3.275 0.000 0.000
0.000 3.275 0.000
0.000 0.000 11.913
```

Calculated values
**Crystal system**: tetragonal
**DFT total energy**: -8.862 eV/atom
**Size of the total moment**: 0.00 μB/f.u.
**SG**: P4/mmm
**Volume**: 127.7 Å³/cell
**Distance to the lowest polymorph of the same formula**: 0 meV per atom
**Calculated formation energy**: -192.4 meV/atom
**N(E_F)**: 0.868 states/eV per atom